Entry i
The following is a PBE-GGA calculation of a relaxed Ba2NaEu crystal, from Alexandria.

Calculated values
M_tot	8.3	μB/cell
DOS at the Fermi energy	5.31	states/eV/f.u.
symmetry	Fm-3m (225)

Cell: 6.7150 6.7150 6.7150 Å, 60.00 60.00 60.00°
Closest atoms and distances in Å follow each position.
Sites, in units of the cell vectors:
Ba 0.2500 0.2500 0.2500  4 Na 4.11, 4 Eu 4.11
Eu 0.0000 0.0000 0.0000  8 Ba 4.11
Na 0.5000 0.5000 0.5000  8 Ba 4.11
Ba 0.7500 0.7500 0.7500  4 Na 4.11, 4 Eu 4.11

***

Entry ii
The following is a PBE-GGA calculation of a relaxed Ba2NaEu crystal, from Alexandria.

Calculated values
M_tot	7.8	μB/cell
DOS at the Fermi energy	4.61	states/eV/f.u.
symmetry	R-3m (166)

Cell: 4.1805 4.1805 14.7077 Å, 81.83 81.83 60.00°
Closest atoms and distances in Å follow each position.
Sites, in units of the cell vectors:
Na 0.0000 0.0000 0.0000  2 Ba 3.85, 6 Na 4.18
Ba 0.0884 0.0884 0.7348  1 Na 3.85, 3 Eu 4.18, 6 Ba 4.18
Ba 0.9116 0.9116 0.2652  1 Na 3.85, 3 Eu 4.18, 6 Ba 4.18
Eu 0.5000 0.5000 0.5000  6 Ba 4.18, 6 Eu 4.18

***

Which one sits at the top of the stability order? entry i does.

***

Entry i
The following is a PBE-GGA calculation of a relaxed BaNaEu2 crystal, from Alexandria.

Calculated values
M_tot	15.8	μB/cell
DOS at the Fermi energy	20.05	states/eV/f.u.
symmetry	Fm-3m (225)

Cell: 6.4133 6.4133 6.4133 Å, 60.00 60.00 60.00°
Closest atoms and distances in Å follow each position.
Sites, in units of the cell vectors:
Eu 0.7500 0.7500 0.7500  4 Na 3.93, 4 Ba 3.93
Ba 0.5000 0.5000 0.5000  8 Eu 3.93
Eu 0.2500 0.2500 0.2500  4 Ba 3.93, 4 Na 3.93
Na 0.0000 0.0000 0.0000  8 Eu 3.93

***

Entry ii
The following is a PBE-GGA calculation of a relaxed BaNaEu2 crystal, from Alexandria.

Calculated values
M_tot	15.3	μB/cell
DOS at the Fermi energy	20.62	states/eV/f.u.
symmetry	P4/mmm (123)

Cell: 6.2125 5.5466 5.5466 Å, 90.00 90.00 90.00°
Closest atoms and distances in Å follow each position.
Sites, in units of the cell vectors:
Ba 0.5000 0.5000 0.5000  4 Na 3.92, 8 Eu 4.16
Eu 0.0000 0.5000 0.0000  4 Eu 3.92, 4 Na 4.16, 4 Ba 4.16
Na 0.5000 0.0000 0.0000  4 Ba 3.92, 8 Eu 4.16
Eu 0.0000 0.0000 0.5000  4 Eu 3.92, 4 Ba 4.16, 4 Na 4.16

***

Entry iii
The following is a PBE-GGA calculation of a relaxed BaNaEu2 crystal, from Alexandria.

Calculated values
M_tot	15.3	μB/cell
DOS at the Fermi energy	24.27	states/eV/f.u.
symmetry	P4/mmm (123)

Cell: 4.2183 4.2183 10.7013 Å, 90.00 90.00 90.00°
Closest atoms and distances in Å follow each position.
Sites, in units of the cell vectors:
Eu 0.0000 0.0000 0.2154  4 Na 3.77, 4 Eu 4.22
Eu 0.0000 0.0000 0.7846  4 Na 3.77, 4 Eu 4.22
Ba 0.5000 0.5000 0.5000  4 Ba 4.22, 8 Eu 4.26
Na 0.5000 0.5000 0.0000  8 Eu 3.77, 4 Na 4.22

***

Which one sits at the top of the stability order? entry iii does.